Entry from Alexandria: a geometry-optimized CaPmHg2 structure (GGA-PBEsol). Values from VASP.

Quantum ESPRESSO input file:
```
&SYSTEM
  ibrav = 0, nat = 4, ntyp = 3
/
ATOMIC_SPECIES
Ca 40.08 Ca.upf
Hg 200.59 Hg.upf
Pm 145.00 Pm.upf
CELL_PARAMETERS angstrom
5.256 0.000 0.000
2.628 4.551 0.000
2.628 1.517 4.291
ATOMIC_POSITIONS crystal
Ca 0.500 0.500 0.500
Hg 0.750 0.750 0.750
Hg 0.250 0.250 0.250
Pm 0.000 0.000 0.000
```

Calculated values
**Space group**: No. 225
**Crystal system**: cubic
**Formation energy**: -618 meV per atom
**E**: -10.9 eV per cell

=====

Entry from Alexandria: a geometry-optimized CaPrHg2 structure (GGA-PBEsol). Values from VASP.

Quantum ESPRESSO input file:
```
&SYSTEM
  ibrav = 0, nat = 4, ntyp = 3
/
ATOMIC_SPECIES
Pr 140.91 Pr.upf
Ca 40.08 Ca.upf
Hg 200.59 Hg.upf
CELL_PARAMETERS angstrom
5.299 0.000 0.000
2.650 4.589 0.000
2.650 1.530 4.327
ATOMIC_POSITIONS crystal
Pr 0.000 0.000 0.000
Ca 0.500 0.500 0.500
Hg 0.250 0.250 0.250
Hg 0.750 0.750 0.750
```

Calculated values
**Space group**: No. 225
**Crystal system**: cubic
**Formation energy**: -617 meV per atom
**E**: -10.9 eV per cell

=====

Entry from Alexandria: a geometry-optimized CaHg2Pt structure (GGA-PBEsol). Values from VASP.

Quantum ESPRESSO input file:
```
&SYSTEM
  ibrav = 0, nat = 4, ntyp = 3
/
ATOMIC_SPECIES
Ca 40.08 Ca.upf
Hg 200.59 Hg.upf
Pt 195.08 Pt.upf
CELL_PARAMETERS angstrom
4.848 0.000 0.000
2.424 4.198 0.000
2.424 1.399 3.958
ATOMIC_POSITIONS crystal
Ca 0.000 0.000 0.000
Hg 0.250 0.250 0.250
Hg 0.750 0.750 0.750
Pt 0.500 0.500 0.500
```

Calculated values
**Space group**: No. 225
**Crystal system**: cubic
**Formation energy**: -444 meV per atom
**E**: -12.0 eV per cell

=====

Entry from Alexandria: a geometry-optimized CaHg2Pt structure (GGA-PBEsol). Values from VASP.

Quantum ESPRESSO input file:
```
&SYSTEM
  ibrav = 0, nat = 4, ntyp = 3
/
ATOMIC_SPECIES
Ca 40.08 Ca.upf
Hg 200.59 Hg.upf
Pt 195.08 Pt.upf
CELL_PARAMETERS angstrom
4.872 0.000 0.000
2.436 4.220 0.000
2.436 1.407 3.978
ATOMIC_POSITIONS crystal
Ca 0.500 0.500 0.500
Hg 0.000 0.000 0.000
Hg 0.750 0.750 0.750
Pt 0.250 0.250 0.250
```

Calculated values
**Space group**: No. 216
**Crystal system**: cubic
**Formation energy**: -402 meV per atom
**E**: -11.8 eV per cell

=====

Entry from Alexandria: a geometry-optimized CaHgPt structure (GGA-PBEsol). Values from VASP.

Quantum ESPRESSO input file:
```
&SYSTEM
  ibrav = 0, nat = 3, ntyp = 3
/
ATOMIC_SPECIES
Ca 40.08 Ca.upf
Hg 200.59 Hg.upf
Pt 195.08 Pt.upf
CELL_PARAMETERS angstrom
4.668 0.000 0.000
2.334 4.043 0.000
2.334 1.348 3.812
ATOMIC_POSITIONS crystal
Ca 0.000 0.000 0.000
Hg 0.500 0.500 0.500
Pt 0.250 0.250 0.250
```

Calculated values
**Space group**: No. 216
**Crystal system**: cubic
**Formation energy**: -558 meV per atom
**E**: -11.3 eV per cell

=====

Entry from Alexandria: a geometry-optimized Ca3HgPt structure (GGA-PBEsol). Values from VASP.

Quantum ESPRESSO input file:
```
&SYSTEM
  ibrav = 0, nat = 5, ntyp = 3
/
ATOMIC_SPECIES
Ca 40.08 Ca.upf
Hg 200.59 Hg.upf
Pt 195.08 Pt.upf
CELL_PARAMETERS angstrom
-4.043 -3.333 -1.727
3.651 -4.082 -0.670
-0.873 -1.634 5.197
ATOMIC_POSITIONS crystal
Ca 0.000 0.500 0.000
Ca 0.000 0.000 0.500
Ca 0.500 0.000 0.000
Hg 0.000 0.000 0.000
Pt 0.500 0.500 0.500
```

Calculated values
**Space group**: No. 221
**Crystal system**: cubic
**Formation energy**: 206 meV per atom
**E**: -12.9 eV per cell